Li2AcTl4In: relaxed, PBE-GGA.

Cell: 5.108 5.108 10.203 Å, 75.50 75.50 60.00°
Atoms (fractional coordinates):
Li 0.763 0.763 0.712
Li 0.237 0.237 0.288
Ac 0.000 0.000 0.000
Tl 0.393 0.393 0.820
Tl 0.877 0.877 0.369
Tl 0.123 0.123 0.631
Tl 0.607 0.607 0.180
In 0.500 0.500 0.500

## Properties
ΔE_f in eV/atom: -0.19
Total DFT energy (no corrections) in eV/atom: -2.71
Symmetry: R-3m, No. 166
DOS(E_F) in states/eV/f.u.: 3.57

---

LiAcTlIn: relaxed, PBE-GGA.

Cell: 4.812 4.812 6.367 Å, 112.29 90.00 120.00°
Atoms (fractional coordinates):
Li 0.814 0.627 0.083
Ac 0.614 0.227 0.483
Tl 0.396 0.791 0.829
In 0.144 0.287 0.072

## Properties
ΔE_f in eV/atom: -0.29
Total DFT energy (no corrections) in eV/atom: -3.07
Symmetry: Cm, No. 8
DOS(E_F) in states/eV/f.u.: 1.69
Energy above the most stable polymorph in this dataset in eV per formula unit: 0.11

---

Li3Ac3Tl2In: relaxed, PBE-GGA.

Cell: 5.128 7.837 7.837 Å, 120.00 90.00 90.00°
Atoms (fractional coordinates):
Li 0.500 0.779 0.000
Li 0.500 0.221 0.221
Li 0.500 0.000 0.779
Ac 0.000 0.000 0.429
Ac 0.000 0.571 0.571
Ac 0.000 0.429 0.000
Tl 0.500 0.333 0.667
Tl 0.500 0.667 0.333
In 0.000 0.000 0.000

## Properties
ΔE_f in eV/atom: -0.29
Total DFT energy (no corrections) in eV/atom: -3.13
Symmetry: P-62m, No. 189
DOS(E_F) in states/eV/f.u.: 9.96

---

What are the total magnetization values for these records? In order: 0.00, 0.01, 0.00 μB per cell.